DFT (PBE-GGA) results for SiGeWCl2 after structural relaxation.

E_form (uncorrected), meV/atom: 1259.9
DOS at the Fermi energy, states/eV per atom: 1.270
SG: P4/mmm (123)
Magnetization, μB per formula unit: 3.5
Total DFT energy (no corrections), eV/atom: -4.077

Cell lengths 4.7404, 4.7404, 5.1854 Å; angles 90.00, 90.00, 90.00 degrees
Fractional coordinates of all 5 atoms:
Si (0.0000, 0.0000, 0.0000)
Ge (0.0000, 0.0000, 0.5000)
W (0.5000, 0.5000, 0.0000)
Cl (0.0000, 0.5000, 0.5000)
Cl (0.5000, 0.0000, 0.5000)